[1]
Here is a relaxed structure of SrAcSiAg from Alexandria. Energies are from PBE.

ΔE_f (raw): -1.41 eV per formula unit

Cell: 7.7599 7.7599 7.7599 Å, 90.00 90.00 90.00°
With the nearest neighbours (Å) after each atom.
Space group F-43m (No. 216)
Inequivalent atoms, fractional coordinates:
Sr 0.0000 0.0000 0.0000 (multiplicity 4)  4 Si 3.36, 4 Ag 3.36
Ac 0.0000 0.0000 0.5000 (multiplicity 4)  4 Si 3.36, 4 Ag 3.36
Si 0.2500 0.2500 0.2500 (multiplicity 4)  4 Ac 3.36, 4 Sr 3.36
Ag 0.2500 0.2500 0.7500 (multiplicity 4)  4 Ac 3.36, 4 Sr 3.36

[2]
Here is a relaxed structure of AcTbSiAg from Alexandria. Energies are from PBE.

ΔE_f (raw): -1.34 eV per formula unit

Cell: 7.5114 7.5114 7.5114 Å, 90.00 90.00 90.00°
With the nearest neighbours (Å) after each atom.
Space group F-43m (No. 216)
Inequivalent atoms, fractional coordinates:
Ac 0.0000 0.0000 0.0000 (multiplicity 4)  4 Si 3.25, 4 Ag 3.25
Tb 0.0000 0.0000 0.5000 (multiplicity 4)  4 Si 3.25, 4 Ag 3.25
Si 0.2500 0.2500 0.7500 (multiplicity 4)  4 Ac 3.25, 4 Tb 3.25
Ag 0.2500 0.2500 0.2500 (multiplicity 4)  4 Ac 3.25, 4 Tb 3.25

[3]
Here is a relaxed structure of AcYSiAg from Alexandria. Energies are from PBE.

ΔE_f (raw): -1.37 eV per formula unit

Cell: 7.5066 7.5066 7.5066 Å, 90.00 90.00 90.00°
With the nearest neighbours (Å) after each atom.
Space group F-43m (No. 216)
Inequivalent atoms, fractional coordinates:
Ac 0.0000 0.0000 0.0000 (multiplicity 4)  4 Si 3.25, 4 Ag 3.25
Y 0.0000 0.0000 0.5000 (multiplicity 4)  4 Si 3.25, 4 Ag 3.25
Si 0.2500 0.2500 0.2500 (multiplicity 4)  4 Ac 3.25, 4 Y 3.25
Ag 0.2500 0.2500 0.7500 (multiplicity 4)  4 Ac 3.25, 4 Y 3.25

[4]
Here is a relaxed structure of Ac2Zn3Si4Ag from Alexandria. Energies are from PBE.

ΔE_f (raw): -3.65 eV per formula unit

Cell: 4.4413 4.4413 10.3226 Å, 90.00 90.00 90.00°
With the nearest neighbours (Å) after each atom.
Space group P-4m2 (No. 115)
Inequivalent atoms, fractional coordinates:
Ac 0.0000 0.5000 0.2441 (multiplicity 2)  8 Si 3.36-3.37, 6 Zn 3.38-3.45, 2 Ag 3.45
Zn 0.0000 0.5000 0.8773 (multiplicity 2)  5 Si 2.47-2.56
Zn 0.5000 0.5000 0.5000 (multiplicity 1)  4 Si 2.64
Si 0.0000 0.0000 0.0000 (multiplicity 1)  4 Zn 2.56
Si 0.0000 0.5000 0.6378 (multiplicity 2)  3 Zn 2.47-2.64, 2 Ag 2.64
Si 0.5000 0.5000 0.0000 (multiplicity 1)  4 Zn 2.56
Ag 0.0000 0.0000 0.5000 (multiplicity 1)  4 Si 2.64

[5]
Here is a relaxed structure of Ac3SmAg4 from Alexandria. Energies are from PBE.

Formation energy from the elements: -0.260 eV/atom

Cell: 3.9000 3.9000 15.5857 Å, 90.00 90.00 90.00°
With the nearest neighbours (Å) after each atom.
Space group P4/mmm (No. 123)
Inequivalent atoms, fractional coordinates:
Ac 0.0000 0.0000 0.0000 (multiplicity 1)  8 Ag 3.41
Ac 0.0000 0.0000 0.2572 (multiplicity 2)  8 Ag 3.41-3.48, 1 Sm 3.78
Sm 0.0000 0.0000 0.5000 (multiplicity 1)  8 Ag 3.22
Ag 0.5000 0.5000 0.1290 (multiplicity 2)  8 Ac 3.41
Ag 0.5000 0.5000 0.3938 (multiplicity 2)  4 Sm 3.22, 1 Ag 3.31, 4 Ac 3.48

[6]
Here is a relaxed structure of AcSm5Ag4 from Alexandria. Energies are from PBE.

Formation energy from the elements: -0.214 eV/atom

Cell: 3.7131 3.7131 20.3292 Å, 90.00 90.00 90.00°
With the nearest neighbours (Å) after each atom.
Space group P4/mmm (No. 123)
Inequivalent atoms, fractional coordinates:
Ac 0.0000 0.0000 0.0000 (multiplicity 1)  4 Ac 3.71, 8 Sm 3.78
Sm 0.5000 0.5000 0.1336 (multiplicity 2)  4 Ag 3.22
Sm 0.5000 0.5000 0.3161 (multiplicity 2)  8 Ag 3.21-3.22
Sm 0.5000 0.5000 0.5000 (multiplicity 1)  8 Ag 3.23
Ag 0.0000 0.0000 0.2252 (multiplicity 2)  8 Sm 3.21-3.22
Ag 0.0000 0.0000 0.4078 (multiplicity 2)  8 Sm 3.22-3.23

Let's list N(E_F) in order: 0.34; 0.99; 0.94; 0.35; 0.69; 0.82 states/eV/atom.